# PBE with a Hubbard U SrVN2O, optimized geometry
# Density of states at the Fermi level   6.40 states/eV per cell
# Density   3.95 g cm⁻³
# E_tot   -4.228 eV per atom
data_SrVN2O
_chemical_formula_sum 'Sr1 V1 N2 O1'
_cell_length_a 4.2161
_cell_length_b 4.2161
_cell_length_c 4.3143
_cell_angle_alpha 90.00
_cell_angle_beta 90.00
_cell_angle_gamma 90.00
_symmetry_space_group_name_H-M 'P 4/m m m'
_symmetry_Int_Tables_number 123
_symmetry_space_group_name_Hall '-P 4 2'
loop_
_atom_site_label
_atom_site_type_symbol
_atom_site_fract_x
_atom_site_fract_y
_atom_site_fract_z
Sr1 Sr 0.0000 0.0000 0.0000
V1 V 0.5000 0.5000 0.5000
N1 N 0.0000 0.5000 0.0000
O1 O 0.0000 0.0000 0.5000